The following is a DFT calculation (PBE) of an optimized crystal structure of Sr2SiMo.

extended XYZ file:
```
4
Lattice="4.298 0.001 0.016 2.150 3.722 0.016 2.099 1.212 8.205" Properties=species:S:1:pos:R:3 pbc="T T T"
Sr 6.438 3.716 0.959
Sr 6.422 3.707 5.252
Si 2.131 1.230 3.085
Mo 4.280 2.470 3.094
```

Output
- energy relative to the elements, uncorrected (meV/atom) = 71
- DOS(E_F) (states/eV/cell) = 3.42
- crystal system = monoclinic